# 1
{
  "formula": "Na4As2H",
  "functional": "PBE-GGA",
  "state": "optimized geometry",
  "total_energy_ev_per_cell": -19.45,
  "m_tot_mub_per_atom": 0.08,
  "sg": "No. 166",
  "lattice": [[-2.809, -0.205, 4.169], [2.210, -0.134, 4.518], [-0.328, 7.528, 3.185]],
  "species": ["Na", "Na", "Na", "Na", "As", "As", "H"],
  "fractional_positions": [[0.619, 0.619, 0.142], [0.789, 0.789, 0.634], [0.211, 0.211, 0.366], [0.381, 0.381, 0.858], [0.922, 0.922, 0.235], [0.078, 0.078, 0.765], [0.000, 0.000, 0.000]]
}

---

# 2
{
  "formula": "HgPCl",
  "functional": "PBE-GGA",
  "state": "optimized geometry",
  "formation_energy_uncorrected_kcal_per_mol_atoms": 8.4,
  "total_energy_ev_per_cell": -6.47,
  "m_tot_mub_per_atom": 0.00,
  "sg": "No. 156",
  "lattice": [[-0.632, -2.628, 2.867], [3.091, 2.435, 0.206], [-2.897, 3.463, 2.536]],
  "species": ["Cl", "Hg", "P"],
  "fractional_positions": [[0.000, 0.000, 0.009], [0.667, 0.333, 0.379], [0.333, 0.667, 0.612]]
}

---

# 3
{
  "formula": "TiCrPb",
  "functional": "PBE-GGA",
  "state": "optimized geometry",
  "e_form_ev_per_atom": 0.266,
  "total_energy_ev_per_cell": -40.86,
  "m_tot_mub_per_atom": 0.00,
  "sg": "No. 1",
  "lattice": [[3.088, -0.001, 0.002], [0.667, 5.406, 0.000], [0.404, 2.475, 6.738]],
  "species": ["Pb", "Pb", "Cr", "Cr", "Ti", "Ti"],
  "fractional_positions": [[0.346, 0.557, 0.470], [0.363, 0.835, 0.862], [0.360, 0.329, 0.165], [0.721, 0.972, 0.169], [0.903, 0.075, 0.462], [0.922, 0.337, 0.871]]
}

---

# 4
{
  "formula": "Ho2ErSc3Bi6",
  "functional": "PBE-GGA",
  "state": "optimized geometry",
  "e_form_ev_per_atom": -0.741,
  "total_energy_ev_per_cell": -64.90,
  "m_tot_mub_per_atom": 0.00,
  "sg": "No. 12",
  "lattice": [[-7.460, 0.914, -0.823], [2.668, -5.462, 4.495], [1.540, 6.021, 4.286]],
  "species": ["Ho", "Ho", "Er", "Sc", "Sc", "Sc", "Bi", "Bi", "Bi", "Bi", "Bi", "Bi"],
  "fractional_positions": [[0.333, 0.667, 0.000], [0.667, 0.333, 0.000], [0.000, 0.000, 0.000], [0.167, 0.833, 0.500], [0.833, 0.167, 0.500], [0.500, 0.500, 0.500], [0.912, 0.580, 0.737], [0.755, 0.755, 0.263], [0.088, 0.420, 0.263], [0.580, 0.912, 0.737], [0.245, 0.245, 0.737], [0.420, 0.088, 0.263]]
}

---

# 5
{
  "formula": "Pr8P3SeBr4",
  "functional": "PBE-GGA",
  "state": "optimized geometry",
  "formation_energy_uncorrected_kcal_per_mol_atoms": -34.8,
  "total_energy_ev_per_cell": -88.78,
  "m_tot_mub_per_atom": 0.00,
  "sg": "No. 166",
  "lattice": [[-2.321, 7.502, 3.168], [-8.296, -2.856, 0.687], [6.163, -4.448, 3.733]],
  "species": ["Pr", "Pr", "Pr", "Pr", "Pr", "Pr", "Pr", "Pr", "P", "P", "P", "Se", "Br", "Br", "Br", "Br"],
  "fractional_positions": [[0.241, 0.703, 0.962], [0.241, 0.703, 0.482], [0.266, 0.298, 0.532], [0.721, 0.703, 0.962], [0.279, 0.297, 0.038], [0.734, 0.702, 0.468], [0.759, 0.297, 0.518], [0.759, 0.297, 0.038], [0.500, 0.500, 0.000], [0.500, 0.500, 0.500], [0.000, 0.500, 0.500], [0.000, 0.500, 0.000], [0.500, 0.000, 0.000], [0.500, 0.000, 0.500], [0.000, 0.000, 0.000], [0.000, 0.000, 0.500]]
}

---

# 6
{
  "formula": "Ge3Pd2",
  "functional": "PBE-GGA",
  "state": "optimized geometry",
  "e_form_ev_per_atom": -0.179,
  "total_energy_ev_per_cell": -50.26,
  "m_tot_mub_per_atom": 0.00,
  "sg": "No. 167",
  "lattice": [[6.289, 0.000, 0.000], [3.144, 5.446, 0.000], [3.144, 1.815, 5.614]],
  "species": ["Ge", "Ge", "Ge", "Ge", "Ge", "Ge", "Pd", "Pd", "Pd", "Pd"],
  "fractional_positions": [[0.097, 0.750, 0.750], [0.750, 0.403, 0.750], [0.403, 0.097, 0.750], [0.250, 0.597, 0.250], [0.597, 0.903, 0.250], [0.903, 0.250, 0.250], [0.834, 0.834, 0.499], [0.334, 0.334, 0.999], [0.166, 0.166, 0.501], [0.666, 0.666, 0.001]]
}

---

# 7
{
  "formula": "Zn5Cu8Pd",
  "functional": "PBE-GGA",
  "state": "optimized geometry",
  "e_form_ev_per_atom": 0.030,
  "total_energy_ev_per_cell": -43.91,
  "m_tot_mub_per_atom": 0.00,
  "sg": "No. 82",
  "lattice": [[6.300, -0.031, 0.053], [-2.161, 5.918, -0.053], [-1.978, -3.007, 5.170]],
  "species": ["Zn", "Zn", "Zn", "Zn", "Zn", "Cu", "Cu", "Cu", "Cu", "Cu", "Cu", "Cu", "Cu", "Pd"],
  "fractional_positions": [[0.041, 0.341, 0.130], [0.870, 0.910, 0.211], [0.789, 0.659, 0.700], [0.500, 0.000, 0.500], [0.300, 0.090, 0.959], [0.139, 0.733, 0.079], [0.921, 0.060, 0.654], [0.745, 0.266, 0.340], [0.660, 0.405, 0.926], [0.521, 0.595, 0.255], [0.594, 0.940, 0.861], [0.346, 0.267, 0.406], [0.074, 0.734, 0.479], [0.250, 0.500, 0.750]]
}

---

# 8
{
  "formula": "PuNbV2",
  "functional": "PBE-GGA",
  "state": "optimized geometry",
  "e_form_ev_per_atom": 0.233,
  "total_energy_ev_per_cell": -41.71,
  "m_tot_mub_per_atom": 0.92,
  "sg": "No. 123",
  "lattice": [[3.184, 0.000, 0.000], [0.000, 3.184, 0.000], [0.000, 0.000, 6.622]],
  "species": ["Nb", "V", "V", "Pu"],
  "fractional_positions": [[0.500, 0.500, 0.500], [0.000, 0.000, 0.742], [0.000, 0.000, 0.258], [0.500, 0.500, 0.000]]
}